The following is a PBE with a Hubbard U calculation of RbMnIrO6 after structural relaxation, from Alexandria.

Computed properties:
For the density of states at the Fermi level, the calculation gives 3.00 states/eV/f.u. Its total magnetization is 0.949 μB/f.u.

Cell: 5.1633 5.1633 6.3733 Å, 90.00 90.00 120.00°
Last column: nearest neighbours and their distance in Å.
Positions (direct):
Rb 0.0000 0.0000 0.0000  6 O 2.92
Mn 0.3333 0.6667 0.5000  6 O 1.92
Ir 0.6667 0.3333 0.5000  6 O 1.92
O 0.0001 0.3882 0.6677  1 Mn 1.92, 1 Ir 1.92
O 0.0001 0.6120 0.3323  1 Mn 1.92, 1 Ir 1.92
O 0.3880 0.9999 0.6677  1 Mn 1.92, 1 Ir 1.92
O 0.3880 0.3882 0.3323  1 Mn 1.92, 1 Ir 1.92
O 0.6118 0.9999 0.3323  1 Mn 1.92, 1 Ir 1.92
O 0.6118 0.6120 0.6677  1 Mn 1.92, 1 Ir 1.92


The following is a PBE with a Hubbard U calculation of MnIrRh2O after structural relaxation, from Alexandria.

Computed properties:
For the density of states at the Fermi level, the calculation gives 7.92 states/eV/f.u. Its total magnetization is 2.860 μB/f.u.

Cell: 4.4618 4.4618 4.4316 Å, 90.00 90.00 90.00°
Last column: nearest neighbours and their distance in Å.
Positions (direct):
Mn 0.0000 0.0000 0.0000  2 Ir 2.22, 4 Rh 2.23
Ir 0.0000 0.0000 0.5000  2 Mn 2.22
Rh 0.0000 0.5000 0.0000  2 Mn 2.23
Rh 0.5000 0.0000 0.0000  2 Mn 2.23
O 0.5000 0.5000 0.5000  8 Rh 3.14, 4 Ir 3.15


The following is a PBE with a Hubbard U calculation of MnIrRh2O8 after structural relaxation, from Alexandria.

Computed properties:
For the density of states at the Fermi level, the calculation gives 6.91 states/eV/f.u. Its total magnetization is 2.562 μB/f.u.

Cell: 4.5452 4.5452 6.2717 Å, 90.00 90.00 90.50°
Last column: nearest neighbours and their distance in Å.
Positions (direct):
Mn 0.0000 0.0000 0.0000  6 O 1.95-2.02
Ir 0.0000 0.0000 0.5000  6 O 1.94-1.99
Rh 0.5000 0.5000 0.2490  6 O 1.98-2.02
Rh 0.5000 0.5000 0.7510  6 O 1.98-2.02
O 0.1927 0.8073 0.2529  1 Rh 1.98, 1 Ir 1.99, 1 Mn 2.02
O 0.1927 0.8073 0.7471  1 Rh 1.98, 1 Ir 1.99, 1 Mn 2.02
O 0.3023 0.3023 0.5000  1 Ir 1.94, 2 Rh 2.02
O 0.3041 0.3041 0.0000  1 Mn 1.95, 2 Rh 2.00
O 0.6959 0.6959 0.0000  1 Mn 1.95, 2 Rh 2.00
O 0.6977 0.6977 0.5000  1 Ir 1.94, 2 Rh 2.02
O 0.8073 0.1927 0.2529  1 Rh 1.98, 1 Ir 1.99, 1 Mn 2.02
O 0.8073 0.1927 0.7471  1 Rh 1.98, 1 Ir 1.99, 1 Mn 2.02


The following is a PBE with a Hubbard U calculation of MnIrRuO6 after structural relaxation, from Alexandria.

Computed properties:
For the density of states at the Fermi level, the calculation gives 6.30 states/eV/f.u. Its total magnetization is 2.045 μB/f.u.

Cell: 5.0406 5.0406 8.6086 Å, 90.00 90.00 120.00°
Last column: nearest neighbours and their distance in Å.
Positions (direct):
Mn 0.3333 0.6667 0.2500  6 O 1.99
Mn 0.6667 0.3333 0.7500  6 O 1.99
Ir 0.3333 0.6667 0.7500  6 O 2.00
Ir 0.6667 0.3333 0.2500  6 O 2.00
Ru 0.0000 0.0000 0.0000  6 O 2.00
Ru 0.0000 0.0000 0.5000  6 O 2.00
O 0.0006 0.3347 0.1249  1 Mn 1.99, 1 Ir 2.00, 1 Ru 2.00
O 0.0006 0.6660 0.3751  1 Mn 1.99, 1 Ir 2.00, 1 Ru 2.00
O 0.3340 0.3347 0.3751  1 Mn 1.99, 1 Ir 2.00, 1 Ru 2.00
O 0.3340 0.9994 0.1249  1 Mn 1.99, 1 Ir 2.00, 1 Ru 2.00
O 0.3347 0.0006 0.6249  1 Mn 1.99, 1 Ir 2.00, 1 Ru 2.00
O 0.3347 0.3340 0.8751  1 Mn 1.99, 1 Ir 2.00, 1 Ru 2.00
O 0.6653 0.6660 0.1249  1 Mn 1.99, 1 Ir 2.00, 1 Ru 2.00
O 0.6653 0.9994 0.3751  1 Mn 1.99, 1 Ir 2.00, 1 Ru 2.00
O 0.6660 0.0006 0.8751  1 Mn 1.99, 1 Ir 2.00, 1 Ru 2.00
O 0.6660 0.6653 0.6249  1 Mn 1.99, 1 Ir 2.00, 1 Ru 2.00
O 0.9994 0.3340 0.6249  1 Mn 1.99, 1 Ir 2.00, 1 Ru 2.00
O 0.9994 0.6653 0.8751  1 Mn 1.99, 1 Ir 2.00, 1 Ru 2.00


The following is a PBE with a Hubbard U calculation of MnSbIrO6 after structural relaxation, from Alexandria.

Computed properties:
For the density of states at the Fermi level, the calculation gives 2.60 states/eV/f.u. Its total magnetization is 2.961 μB/f.u.

Cell: 5.2561 5.2561 9.1458 Å, 90.00 90.00 120.00°
Last column: nearest neighbours and their distance in Å.
Positions (direct):
Mn 0.0000 0.0000 0.0000  6 O 2.22
Mn 0.0000 0.0000 0.5000  6 O 2.22
Sb 0.3333 0.6667 0.2500  6 O 2.03
Sb 0.6667 0.3333 0.7500  6 O 2.03
Ir 0.3333 0.6667 0.7500  6 O 1.99
Ir 0.6667 0.3333 0.2500  6 O 1.99
O 0.0063 0.3563 0.6331  1 Ir 1.99, 1 Sb 2.03, 1 Mn 2.22
O 0.0063 0.6500 0.8669  1 Ir 1.99, 1 Sb 2.03, 1 Mn 2.22
O 0.3500 0.3563 0.8669  1 Ir 1.99, 1 Sb 2.03, 1 Mn 2.22
O 0.3500 0.9937 0.6331  1 Ir 1.99, 1 Sb 2.03, 1 Mn 2.22
O 0.3563 0.0063 0.1331  1 Ir 1.99, 1 Sb 2.03, 1 Mn 2.22
O 0.3563 0.3500 0.3669  1 Ir 1.99, 1 Sb 2.03, 1 Mn 2.22
O 0.6437 0.6500 0.6331  1 Ir 1.99, 1 Sb 2.03, 1 Mn 2.22
O 0.6437 0.9937 0.8669  1 Ir 1.99, 1 Sb 2.03, 1 Mn 2.22
O 0.6500 0.0063 0.3669  1 Ir 1.99, 1 Sb 2.03, 1 Mn 2.22
O 0.6500 0.6437 0.1331  1 Ir 1.99, 1 Sb 2.03, 1 Mn 2.22
O 0.9937 0.3500 0.1331  1 Ir 1.99, 1 Sb 2.03, 1 Mn 2.22
O 0.9937 0.6437 0.3669  1 Ir 1.99, 1 Sb 2.03, 1 Mn 2.22


The following is a PBE with a Hubbard U calculation of ScMnIrO6 after structural relaxation, from Alexandria.

Computed properties:
For the density of states at the Fermi level, the calculation gives 4.60 states/eV/f.u. Its total magnetization is 2.950 μB/f.u.

Cell: 5.1856 5.1856 8.9102 Å, 90.00 90.00 120.00°
Last column: nearest neighbours and their distance in Å.
Positions (direct):
Sc 0.3333 0.6667 0.2500  6 O 2.09
Sc 0.6667 0.3333 0.7500  6 O 2.09
Mn 0.0000 0.0000 0.0000  6 O 2.12
Mn 0.0000 0.0000 0.5000  6 O 2.12
Ir 0.3333 0.6667 0.7500  6 O 1.94
Ir 0.6667 0.3333 0.2500  6 O 1.94
O 0.0226 0.3557 0.6281  1 Ir 1.94, 1 Sc 2.09, 1 Mn 2.12
O 0.0226 0.6669 0.8719  1 Ir 1.94, 1 Sc 2.09, 1 Mn 2.12
O 0.3331 0.3557 0.8719  1 Ir 1.94, 1 Sc 2.09, 1 Mn 2.12
O 0.3331 0.9774 0.6281  1 Ir 1.94, 1 Sc 2.09, 1 Mn 2.12
O 0.3557 0.0226 0.1281  1 Ir 1.94, 1 Sc 2.09, 1 Mn 2.12
O 0.3557 0.3331 0.3719  1 Ir 1.94, 1 Sc 2.09, 1 Mn 2.12
O 0.6443 0.6669 0.6281  1 Ir 1.94, 1 Sc 2.09, 1 Mn 2.12
O 0.6443 0.9774 0.8719  1 Ir 1.94, 1 Sc 2.09, 1 Mn 2.12
O 0.6669 0.0226 0.3719  1 Ir 1.94, 1 Sc 2.09, 1 Mn 2.12
O 0.6669 0.6443 0.1281  1 Ir 1.94, 1 Sc 2.09, 1 Mn 2.12
O 0.9774 0.3331 0.1281  1 Ir 1.94, 1 Sc 2.09, 1 Mn 2.12
O 0.9774 0.6443 0.3719  1 Ir 1.94, 1 Sc 2.09, 1 Mn 2.12


The following is a PBE with a Hubbard U calculation of MnSnIrO6 after structural relaxation, from Alexandria.

Computed properties:
For the density of states at the Fermi level, the calculation gives 4.35 states/eV/f.u. Its total magnetization is 2.843 μB/f.u.

Cell: 5.2922 5.2922 8.9934 Å, 90.00 90.00 120.00°
Last column: nearest neighbours and their distance in Å.
Positions (direct):
Mn 0.0000 0.0000 0.0000  6 O 2.20
Mn 0.0000 0.0000 0.5000  6 O 2.20
Sn 0.3333 0.6667 0.2500  6 O 2.10
Sn 0.6667 0.3333 0.7500  6 O 2.10
Ir 0.3333 0.6667 0.7500  6 O 1.96
Ir 0.6667 0.3333 0.2500  6 O 1.96
O 0.0191 0.3610 0.6301  1 Ir 1.96, 1 Sn 2.10, 1 Mn 2.20
O 0.0191 0.6581 0.8699  1 Ir 1.96, 1 Sn 2.10, 1 Mn 2.20
O 0.3419 0.3610 0.8699  1 Ir 1.96, 1 Sn 2.10, 1 Mn 2.20
O 0.3419 0.9809 0.6301  1 Ir 1.96, 1 Sn 2.10, 1 Mn 2.20
O 0.3610 0.0191 0.1301  1 Ir 1.96, 1 Sn 2.10, 1 Mn 2.20
O 0.3610 0.3419 0.3699  1 Ir 1.96, 1 Sn 2.10, 1 Mn 2.20
O 0.6390 0.6581 0.6301  1 Ir 1.96, 1 Sn 2.10, 1 Mn 2.20
O 0.6390 0.9809 0.8699  1 Ir 1.96, 1 Sn 2.10, 1 Mn 2.20
O 0.6581 0.0191 0.3699  1 Ir 1.96, 1 Sn 2.10, 1 Mn 2.20
O 0.6581 0.6390 0.1301  1 Ir 1.96, 1 Sn 2.10, 1 Mn 2.20
O 0.9809 0.3419 0.1301  1 Ir 1.96, 1 Sn 2.10, 1 Mn 2.20
O 0.9809 0.6390 0.3699  1 Ir 1.96, 1 Sn 2.10, 1 Mn 2.20


The following is a PBE with a Hubbard U calculation of Ta2MnIrO after structural relaxation, from Alexandria.

Computed properties:
For the density of states at the Fermi level, the calculation gives 5.50 states/eV/f.u. Its total magnetization is 4.182 μB/f.u.

Cell: 5.1008 5.1008 3.6977 Å, 90.00 90.00 90.00°
Last column: nearest neighbours and their distance in Å.
Positions (direct):
Ta 0.0000 0.5000 0.0000  2 Ir 2.55
Ta 0.5000 0.0000 0.0000  2 Ir 2.55
Mn 0.0000 0.0000 0.5000  8 Ta 3.15
Ir 0.5000 0.5000 0.0000  2 O 1.85
O 0.5000 0.5000 0.5000  2 Ir 1.85


The following is a PBE with a Hubbard U calculation of TbMnIrO6 after structural relaxation, from Alexandria.

Computed properties:
For the density of states at the Fermi level, the calculation gives 3.80 states/eV/f.u. Its total magnetization is 3.045 μB/f.u.

Cell: 5.4450 5.4450 8.7588 Å, 90.00 90.00 120.00°
Last column: nearest neighbours and their distance in Å.
Positions (direct):
Tb 0.3333 0.6667 0.2500  6 O 2.26
Tb 0.6667 0.3333 0.7500  6 O 2.26
Mn 0.0000 0.0000 0.0000  6 O 2.18
Mn 0.0000 0.0000 0.5000  6 O 2.18
Ir 0.3333 0.6667 0.7500  6 O 1.94
Ir 0.6667 0.3333 0.2500  6 O 1.94
O 0.0451 0.3662 0.6251  1 Ir 1.94
O 0.0451 0.6789 0.8749  1 Ir 1.94
O 0.3211 0.3662 0.8749  1 Ir 1.94
O 0.3211 0.9549 0.6251  1 Ir 1.94
O 0.3662 0.0451 0.1251  1 Ir 1.94
O 0.3662 0.3211 0.3749  1 Ir 1.94
O 0.6338 0.6789 0.6251  1 Ir 1.94
O 0.6338 0.9549 0.8749  1 Ir 1.94
O 0.6789 0.0451 0.3749  1 Ir 1.94
O 0.6789 0.6338 0.1251  1 Ir 1.94
O 0.9549 0.3211 0.1251  1 Ir 1.94
O 0.9549 0.6338 0.3749  1 Ir 1.94


The following is a PBE with a Hubbard U calculation of Ti2MnIrO after structural relaxation, from Alexandria.

Computed properties:
For the density of states at the Fermi level, the calculation gives 6.10 states/eV/f.u. Its total magnetization is 1.930 μB/f.u.

Cell: 4.9999 4.9999 3.8000 Å, 90.00 90.00 90.00°
Last column: nearest neighbours and their distance in Å.
Positions (direct):
Ti 0.0000 0.5000 0.0000  2 Ir 2.50
Ti 0.5000 0.0000 0.0000  2 Ir 2.50
Mn 0.0000 0.0000 0.5000  8 Ti 3.14
Ir 0.5000 0.5000 0.0000  2 O 1.90
O 0.5000 0.5000 0.5000  2 Ir 1.90


The following is a PBE with a Hubbard U calculation of MnTl2IrO6 after structural relaxation, from Alexandria.

Computed properties:
For the density of states at the Fermi level, the calculation gives 3.68 states/eV/f.u. Its total magnetization is 3.787 μB/f.u.

Cell: 5.6904 5.6904 5.6904 Å, 59.80 59.80 59.80°
Last column: nearest neighbours and their distance in Å.
Positions (direct):
Mn 0.0000 0.0000 0.0000  6 O 2.14-2.27
Tl 0.2562 0.2562 0.2562  3 O 2.29
Tl 0.7678 0.7678 0.7678  6 O 2.28-2.55
Ir 0.4911 0.4911 0.4911  6 O 1.98-2.00
O 0.1483 0.7057 0.3601  1 Ir 2.00, 1 Mn 2.14
O 0.2415 0.6271 0.8279  1 Ir 1.98
O 0.3601 0.1483 0.7057  1 Ir 2.00, 1 Mn 2.14
O 0.6271 0.8279 0.2415  1 Ir 1.98
O 0.7057 0.3601 0.1483  1 Ir 2.00, 1 Mn 2.14
O 0.8279 0.2415 0.6271  1 Ir 1.98


The following is a PBE with a Hubbard U calculation of MnVIrO6 after structural relaxation, from Alexandria.

Computed properties:
For the density of states at the Fermi level, the calculation gives 2.66 states/eV/f.u. Its total magnetization is 2.976 μB/f.u.

Cell: 5.0358 5.0358 9.1373 Å, 90.00 90.00 120.00°
Last column: nearest neighbours and their distance in Å.
Positions (direct):
Mn 0.0000 0.0000 0.0000  6 O 2.15
Mn 0.0000 0.0000 0.5000  6 O 2.15
V 0.3333 0.6667 0.2500  6 O 1.91
V 0.6667 0.3333 0.7500  6 O 1.91
Ir 0.3333 0.6667 0.7500  6 O 1.99
Ir 0.6667 0.3333 0.2500  6 O 1.99
O 0.0111 0.3565 0.1341  1 V 1.91, 1 Ir 1.99
O 0.0111 0.6546 0.3659  1 V 1.91, 1 Ir 1.99
O 0.3454 0.3565 0.3659  1 V 1.91, 1 Ir 1.99
O 0.3454 0.9889 0.1341  1 V 1.91, 1 Ir 1.99
O 0.3565 0.0111 0.6341  1 V 1.91, 1 Ir 1.99
O 0.3565 0.3454 0.8659  1 V 1.91, 1 Ir 1.99
O 0.6435 0.6546 0.1341  1 V 1.91, 1 Ir 1.99
O 0.6435 0.9889 0.3659  1 V 1.91, 1 Ir 1.99
O 0.6546 0.0111 0.8659  1 V 1.91, 1 Ir 1.99
O 0.6546 0.6435 0.6341  1 V 1.91, 1 Ir 1.99
O 0.9889 0.3454 0.6341  1 V 1.91, 1 Ir 1.99
O 0.9889 0.6435 0.8659  1 V 1.91, 1 Ir 1.99


| no. | total energy (eV per formula unit) |
| --- | --- |
| 1 | -56.2 |
| 2 | -24.7 |
| 3 | -81.6 |
| 4 | -64.0 |
| 5 | -60.9 |
| 6 | -66.7 |
| 7 | -60.4 |
| 8 | -40.4 |
| 9 | -64.8 |
| 10 | -35.1 |
| 11 | -59.7 |
| 12 | -65.5 |